Entry 1:
Pr12AlZn6: relaxed, PBE.

Cell: 9.0314 9.0314 9.0314 Å, 110.79 110.79 110.79°
Fractional positions:
Pr: 0.0702 0.7249 0.1643
Pr: 0.1643 0.0702 0.7249
Pr: 0.1831 0.4813 0.3544
Pr: 0.2751 0.8357 0.9298
Pr: 0.3544 0.1831 0.4813
Pr: 0.4813 0.3544 0.1831
Pr: 0.5187 0.6456 0.8169
Pr: 0.6456 0.8169 0.5187
Pr: 0.7249 0.1643 0.0702
Pr: 0.8169 0.5187 0.6456
Pr: 0.8357 0.9298 0.2751
Pr: 0.9298 0.2751 0.8357
Al: 0.0000 0.0000 0.0000
Zn: 0.0817 0.3524 0.5973
Zn: 0.3524 0.5973 0.0817
Zn: 0.4027 0.9183 0.6476
Zn: 0.5973 0.0817 0.3524
Zn: 0.6476 0.4027 0.9183
Zn: 0.9183 0.6476 0.4027

Electronic total energy: -3.718 eV/atom
Energy of formation: -0.100 eV/atom



Entry 2:
ZrCoPb: relaxed, PBE.

Cell: 6.2534 6.2534 11.0140 Å, 90.00 90.00 120.00°
Fractional positions:
Zr: 0.0000 0.5000 0.3860
Zr: 0.0000 0.5000 0.9473
Zr: 0.5000 0.0000 0.2806
Zr: 0.5000 0.0000 0.7194
Zr: 0.5000 0.5000 0.0527
Zr: 0.5000 0.5000 0.6140
Co: 0.2116 0.6058 0.1667
Co: 0.3942 0.6058 0.8333
Co: 0.3942 0.7884 0.5000
Co: 0.6058 0.2116 0.5000
Co: 0.6058 0.3942 0.8333
Co: 0.7884 0.3942 0.1667
Pb: 0.0000 0.0000 0.1667
Pb: 0.0000 0.0000 0.5000
Pb: 0.0000 0.0000 0.8333
Pb: 0.0000 0.5000 0.6667
Pb: 0.5000 0.0000 0.0000
Pb: 0.5000 0.5000 0.3333

Electronic total energy: -6.421 eV/atom
Energy of formation: 0.034 eV/atom



Entry 3:
Ca3Cd4Au2: relaxed, PBE.

Cell: 6.3069 6.3069 9.3435 Å, 117.24 117.24 44.15°
Fractional positions:
Ca: 0.0000 0.0000 0.0000
Ca: 0.3100 0.3100 0.3691
Ca: 0.6900 0.6900 0.6309
Cd: 0.0083 0.0083 0.3500
Cd: 0.2872 0.2872 0.9478
Cd: 0.7128 0.7128 0.0522
Cd: 0.9917 0.9917 0.6500
Au: 0.4106 0.4106 0.7465
Au: 0.5894 0.5894 0.2535

Electronic total energy: -2.291 eV/atom
Energy of formation: -0.489 eV/atom